{
  "formula": "UCrSbO6",
  "functional": "PBE+U",
  "state": "optimized geometry",
  "lattice": [[5.408, 0.000, 0.000], [-2.704, 4.683, 0.000], [0.000, 0.000, 9.705]],
  "species": ["U", "U", "Cr", "Cr", "Sb", "Sb", "O", "O", "O", "O", "O", "O", "O", "O", "O", "O", "O", "O"],
  "frac_coords": [[0.333, 0.667, 0.250], [0.667, 0.333, 0.750], [0.333, 0.667, 0.750], [0.667, 0.333, 0.250], [0.000, 0.000, 0.000], [0.000, 0.000, 0.500], [0.009, 0.357, 0.637], [0.009, 0.652, 0.863], [0.348, 0.357, 0.863], [0.348, 0.991, 0.637], [0.357, 0.009, 0.137], [0.357, 0.348, 0.363], [0.643, 0.652, 0.637], [0.643, 0.991, 0.863], [0.652, 0.009, 0.363], [0.652, 0.643, 0.137], [0.991, 0.348, 0.137], [0.991, 0.643, 0.363]],
  "e_tot_ev_per_atom": -8.061,
  "space_group": "P-31c, No. 163",
  "crystal_system": "trigonal",
  "magnetic_moment_mub_per_fu": 3.00
}